The following is a DFT calculation (PBE+U) of Cs6Cr2O7 after structural relaxation.

Computed properties:
* ρ: 4.57 g cm⁻³
* total magnetization: 8.000 μB per cell
* final energy: -5.213 eV/atom

Unit cell a=7.333 b=9.946 c=12.373 alpha=90.00 beta=125.27 gamma=90.00
Space group P2_1/c (No. 14)
One atom of each set of equivalent atoms:
Cs: 0.047 0.145 0.418 x4
Cs: 0.204 0.528 0.452 x4
Cs: 0.405 0.212 0.280 x4
Cr: 0.326 0.635 0.873 x4
O: 0.077 0.662 0.865 x4
O: 0.262 0.584 0.716 x4
O: 0.499 0.717 0.431 x4
O: 0.500 0.000 0.500 x2